Record 1
Entry from the Alexandria database: MgReRh after structural relaxation (PBE).

Unit cell a=2.805 b=2.805 c=6.843 alpha=90.00 beta=90.00 gamma=120.00
Positions (direct):
Mg 0.000 0.000 0.993
Rh 0.333 0.667 0.657
Re 0.667 0.333 0.350

## Properties
Excess energy over the best structure of this formula in the dataset   59 kJ/mol of formula units
E   -7.0735 eV per atom
Total magnetic moment   0.0 μB per formula unit
Crystal system   trigonal
Formation enthalpy at 0 K   57.9 meV/atom

Record 2
Entry from the Alexandria database: Np2P2H2Pd5 after structural relaxation (PBE).

Unit cell a=3.962 b=3.962 c=11.238 alpha=100.15 beta=100.15 gamma=90.00
Last column: magnetic moment on the atom in μB.
Positions (direct):
Np 0.795 0.795 0.590  3.47
Pd 0.094 0.594 0.189  -0.10
H 0.917 0.917 0.834  0.00
H 0.083 0.083 0.166  0.00
Pd 0.906 0.406 0.811  -0.10
Pd 0.406 0.906 0.811  -0.10
P 0.669 0.669 0.337  -0.10
Pd 0.000 0.000 0.000  -0.14
Pd 0.594 0.094 0.189  -0.10
Np 0.205 0.205 0.410  3.47
P 0.331 0.331 0.663  -0.10

## Properties
E   -6.5884 eV per atom
Total magnetic moment   6.6 μB per formula unit
Crystal system   tetragonal

Record 3
Entry from the Alexandria database: Rb4Ge after structural relaxation (PBE).

Unit cell a=7.112 b=7.112 c=7.112 alpha=90.00 beta=90.00 gamma=90.00
Last column: magnetic moment on the atom in μB.
Positions (direct):
Rb 0.500 0.000 0.500  0.02
Ge 0.500 0.500 0.500  0.46
Rb 0.500 0.500 0.000  0.02
Rb 0.000 0.500 0.500  0.02
Rb 0.000 0.000 0.000  0.00

## Properties
E   -1.5443 eV per atom
Total magnetic moment   1.4 μB per formula unit
Crystal system   cubic
Formation enthalpy at 0 K   153.2 meV/atom

Record 4
Entry from the Alexandria database: Sc2CdNi after structural relaxation (PBE).

Unit cell a=5.835 b=5.835 c=5.835 alpha=147.79 beta=132.08 gamma=58.92
Positions (direct):
Cd 0.539 0.539 0.000
Sc 0.253 0.753 0.500
Ni 0.754 0.254 0.500
Sc 0.954 0.954 0.000

## Properties
E   -5.0804 eV per atom
Total magnetic moment   0.0 μB per formula unit
Crystal system   orthorhombic
Formation enthalpy at 0 K   -240.5 meV/atom

- What is the E in the third record?
  -1.5443 eV per atom

- Which of these has the lowest E?
  MgReRh